GaSbOsI2: relaxed, PBE.

a = 5.6934 Å, b = 5.6934 Å, c = 4.9956 Å
α = 90.00°, β = 90.00°, γ = 90.00°
With the nearest neighbours (Å) after each atom.
Space group P4/mmm (No. 123)
One atom of each set of equivalent atoms:
Ga  0.0000  0.0000  0.0000 [1 per cell]  8 I 3.79, 4 Sb 4.03
Sb  0.5000  0.5000  0.0000 [1 per cell]  2 Os 2.50
Os  0.5000  0.5000  0.5000 [1 per cell]  2 Sb 2.50
I  0.0000  0.5000  0.5000 [2 per cell]  2 Os 2.85

Sm6GaOs2I3: relaxed, PBE.

a = 7.2864 Å, b = 12.6371 Å, c = 8.3867 Å
α = 90.00°, β = 106.94°, γ = 90.00°
With the nearest neighbours (Å) after each atom.
Space group C2/m (No. 12)
One atom of each set of equivalent atoms:
Sm  0.2079  0.0000  0.1885 [4 per cell]  2 Os 2.80, 1 Ga 3.00
Sm  0.2405  0.3221  0.1885 [8 per cell]  2 Os 2.80, 1 Ga 3.00
Ga  0.0000  0.5000  0.0000 [2 per cell]  6 Sm 3.00
Os  0.0000  0.1665  0.0000 [4 per cell]  6 Sm 2.80
I  0.0000  0.0000  0.5000 [2 per cell]  6 Sm 3.38-3.55
I  0.0000  0.3357  0.5000 [4 per cell]  6 Sm 3.39-3.55

GaSn2OsI: relaxed, PBE.

a = 5.2038 Å, b = 5.2038 Å, c = 4.9716 Å
α = 90.00°, β = 90.00°, γ = 90.00°
With the nearest neighbours (Å) after each atom.
Space group P4/mmm (No. 123)
One atom of each set of equivalent atoms:
Ga  0.0000  0.0000  0.0000 [1 per cell]  2 Os 2.49
Sn  0.0000  0.5000  0.5000 [2 per cell]  2 Os 2.60
Os  0.0000  0.0000  0.5000 [1 per cell]  2 Ga 2.49, 4 Sn 2.60
I  0.5000  0.5000  0.0000 [1 per cell]  8 Sn 3.60, 4 Ga 3.68

GaTe2OsI: relaxed, PBE.

a = 5.3847 Å, b = 5.3847 Å, c = 5.3602 Å
α = 90.00°, β = 90.00°, γ = 90.00°
With the nearest neighbours (Å) after each atom.
Space group P4/mmm (No. 123)
One atom of each set of equivalent atoms:
Ga  0.0000  0.0000  0.0000 [1 per cell]  2 I 2.68, 4 Te 2.69
Te  0.0000  0.5000  0.0000 [2 per cell]  2 Ga 2.69
Os  0.5000  0.5000  0.5000 [1 per cell]  8 Te 3.80, 4 I 3.81
I  0.0000  0.0000  0.5000 [1 per cell]  2 Ga 2.68

GaTe2OsI: relaxed, PBE.

a = 5.1887 Å, b = 5.1887 Å, c = 5.8549 Å
α = 90.00°, β = 90.00°, γ = 90.00°
With the nearest neighbours (Å) after each atom.
Space group P4/mmm (No. 123)
One atom of each set of equivalent atoms:
Ga  0.0000  0.0000  0.0000 [1 per cell]  4 I 3.67, 8 Te 3.91
Te  0.0000  0.5000  0.5000 [2 per cell]  2 Os 2.59
Os  0.5000  0.5000  0.5000 [1 per cell]  4 Te 2.59
I  0.5000  0.5000  0.0000 [1 per cell]  2 Os 2.93

TiGa2OsI: relaxed, PBE.

a = 4.9056 Å, b = 4.9056 Å, c = 4.8614 Å
α = 90.00°, β = 90.00°, γ = 90.00°
With the nearest neighbours (Å) after each atom.
Space group P4/mmm (No. 123)
One atom of each set of equivalent atoms:
Ti  0.0000  0.0000  0.0000 [1 per cell]  2 Os 2.43
Ga  0.0000  0.5000  0.5000 [2 per cell]  2 Os 2.45
Os  0.0000  0.0000  0.5000 [1 per cell]  2 Ti 2.43, 4 Ga 2.45
I  0.5000  0.5000  0.0000 [1 per cell]  8 Ga 3.45, 4 Ti 3.47

GaP2I: relaxed, PBE.

a = 6.6677 Å, b = 6.6677 Å, c = 9.0816 Å
α = 90.00°, β = 90.00°, γ = 90.00°
With the nearest neighbours (Å) after each atom.
Space group I-42d (No. 122)
One atom of each set of equivalent atoms:
Ga  0.0000  0.0000  0.0000 [4 per cell]  4 P 2.38
P  0.1889  0.2500  0.1250 [8 per cell]  2 Ga 2.38
I  0.0000  0.0000  0.5000 [4 per cell]  4 P 2.89

GaP3I: relaxed, PBE.

a = 4.7929 Å, b = 4.7929 Å, c = 4.7929 Å
α = 90.00°, β = 90.00°, γ = 90.00°
With the nearest neighbours (Å) after each atom.
Space group Pm-3m (No. 221)
One atom of each set of equivalent atoms:
Ga  0.0000  0.0000  0.0000 [1 per cell]  6 P 2.40
P  0.0000  0.0000  0.5000 [3 per cell]  2 Ga 2.40
I  0.5000  0.5000  0.5000 [1 per cell]  12 P 3.39

Quick rundown of energy relative to the elements, uncorrected, same order as above: 0.5634; -0.6331; -0.1184; 1.4540; 0.5447; 0.1008; 0.4725; 0.9904 eV per atom
Quick rundown of DOS(E_F), same order as above: 0.881; 0.690; 0.069; 1.187; 1.226; 0.674; 0.096; 0.794 states/eV/atom